Entry 1:
Material: MgMo2PtPb
Method: DFT, PBE-GGA
State: optimized geometry

Properties
energy relative to the elements = 2.067 eV/atom

abc: 5.122 4.965 5.122
angles: 90.00 90.00 90.00
Element x y z (fractional)
1 Mo 0.000 0.000 0.500
2 Pb 0.000 0.000 0.000
3 Pt 0.500 0.500 0.500
4 Mg 0.000 0.500 0.000
5 Mo 0.500 0.000 0.000

=====

Entry 2:
Material: PmPr3Pd
Method: DFT, PBE-GGA
State: optimized geometry

Properties
energy relative to the elements = -0.308 eV/atom
distance to the lowest polymorph of the same formula = 0.000 eV per atom

abc: 3.877 6.570 13.113
angles: 85.86 81.50 72.84
Element x y z (fractional)
1 Pm 0.223 0.559 0.995
2 Pd 0.448 0.329 0.775
3 Pr 0.989 0.104 0.917
4 Pr 0.454 0.941 0.151
5 Pr 0.428 0.624 0.520
6 Pm 0.107 0.502 0.285
7 Pr 0.785 0.044 0.386
8 Pd 0.760 0.345 0.136
9 Pr 0.106 0.166 0.621
10 Pr 0.760 0.722 0.757

=====

Entry 3:
Material: RbNbNiSe3
Method: DFT, PBE-GGA
State: optimized geometry

Properties
formation energy without anion corrections = -82.2 kJ/mol of atoms

abc: 3.715 9.060 9.942
angles: 117.04 90.00 90.00
Element x y z (fractional)
1 Se 0.750 0.214 0.544
2 Se 0.750 0.891 0.145
3 Se 0.250 0.786 0.456
4 Se 0.750 0.472 0.132
5 Nb 0.250 0.708 0.178
6 Nb 0.750 0.292 0.822
7 Ni 0.250 0.090 0.608
8 Rb 0.750 0.753 0.741
9 Ni 0.750 0.910 0.392
10 Se 0.250 0.109 0.855
11 Rb 0.250 0.247 0.259
12 Se 0.250 0.528 0.868

=====

Entry 4:
Material: Bi2PRuAu
Method: DFT, PBE-GGA
State: optimized geometry

Properties
energy relative to the elements = 0.362 eV/atom

abc: 5.444 4.317 5.444
angles: 90.00 90.00 90.00
Element x y z (fractional)
1 Au 0.500 0.500 0.500
2 P 0.000 0.500 0.000
3 Bi 0.500 0.000 0.000
4 Bi 0.000 0.000 0.500
5 Ru 0.000 0.000 0.000